(1)
Entry from Alexandria: a relaxed LaC2I2 crystal (PBEsol).

Values from the calculation:
**Energy relative to the elements, uncorrected**: 1.4223 eV/atom
**DOS(E_F)**: 3.136 states/eV/cell
**E**: -4.211 eV/atom
**Space group**: P4/mbm (127)

```
LaC2I2
1.0
8.011 0.000 0.000
0.000 8.011 0.000
0.000 0.000 3.583
La C I
2 4 4
Direct
0.000 0.000 0.000
0.500 0.500 0.000
0.234 0.266 0.500
0.266 0.766 0.500
0.734 0.234 0.500
0.766 0.734 0.500
0.148 0.648 0.000
0.352 0.148 0.000
0.648 0.852 0.000
0.852 0.352 0.000
```

=====

(2)
Entry from Alexandria: a relaxed LaCI2 crystal (PBEsol).

Values from the calculation:
**Energy relative to the elements, uncorrected**: 0.5111 eV/atom
**E**: -4.120 eV/atom
**Space group**: Fm-3m (225)

```
LaCI2
1.0
0.000 3.800 3.800
3.800 0.000 3.800
3.800 3.800 0.000
La C I
1 1 2
Direct
0.000 0.000 0.000
0.500 0.500 0.500
0.250 0.250 0.250
0.750 0.750 0.750
```

=====

(3)
Entry from Alexandria: a relaxed La5C2I9 crystal (PBEsol).

Values from the calculation:
**Energy relative to the elements, uncorrected**: -1.3145 eV/atom
**E**: -5.184 eV/atom
**Space group**: P-1 (2)

```
La5C2I9
1.0
8.003 0.000 0.000
0.883 9.991 0.000
2.324 2.460 13.899
La C I
10 4 18
Direct
0.052 0.466 0.326
0.160 0.033 0.806
0.178 0.644 0.863
0.223 0.135 0.240
0.241 0.839 0.581
0.759 0.161 0.419
0.777 0.865 0.760
0.822 0.356 0.137
0.840 0.967 0.194
0.948 0.534 0.674
0.043 0.722 0.718
0.094 0.846 0.743
0.906 0.154 0.257
0.957 0.278 0.282
0.096 0.150 0.026
0.125 0.158 0.489
0.192 0.814 0.232
0.199 0.494 0.090
0.251 0.361 0.772
0.251 0.558 0.498
0.426 0.847 0.926
0.464 0.348 0.299
0.488 0.056 0.635
0.512 0.944 0.365
0.536 0.652 0.701
0.574 0.153 0.074
0.749 0.442 0.502
0.749 0.639 0.228
0.801 0.506 0.910
0.808 0.186 0.768
0.875 0.842 0.511
0.904 0.850 0.974
```

=====

(4)
Entry from Alexandria: a relaxed La3CI5 crystal (PBEsol).

Values from the calculation:
**Energy relative to the elements, uncorrected**: -1.3144 eV/atom
**DOS(E_F)**: 1.163 states/eV/cell
**E**: -5.150 eV/atom
**Space group**: P-1 (2)

```
La3CI5
1.0
7.900 0.000 0.000
-2.470 9.272 0.000
-1.212 -3.320 9.022
La C I
6 2 10
Direct
0.031 0.226 0.422
0.109 0.540 0.271
0.384 0.640 0.686
0.616 0.360 0.314
0.891 0.460 0.729
0.969 0.774 0.578
0.088 0.531 0.542
0.912 0.469 0.458
0.091 0.875 0.314
0.182 0.224 0.133
0.261 0.588 0.970
0.353 0.969 0.779
0.455 0.304 0.594
0.545 0.696 0.406
0.647 0.031 0.221
0.739 0.412 0.030
0.818 0.776 0.867
0.909 0.125 0.686
```

=====

(5)
Entry from Alexandria: a relaxed La10C4I15 crystal (PBEsol).

Values from the calculation:
**Energy relative to the elements, uncorrected**: -1.2740 eV/atom
**DOS(E_F)**: 4.791 states/eV/cell
**E**: -5.362 eV/atom
**Space group**: P-1 (2)

```
La10C4I15
1.0
9.708 0.000 0.000
3.456 9.995 0.000
4.842 2.511 10.350
La C I
10 4 15
Direct
0.022 0.112 0.260
0.077 0.185 0.893
0.163 0.432 0.045
0.245 0.538 0.654
0.323 0.749 0.834
0.677 0.251 0.166
0.755 0.462 0.346
0.837 0.568 0.955
0.923 0.815 0.107
0.978 0.888 0.740
0.044 0.701 0.938
0.119 0.638 0.833
0.881 0.362 0.167
0.956 0.299 0.062
0.060 0.553 0.298
0.138 0.814 0.463
0.235 0.905 0.064
0.262 0.035 0.640
0.340 0.164 0.222
0.398 0.264 0.822
0.444 0.368 0.414
0.500 0.500 0.000
0.556 0.632 0.586
0.602 0.736 0.178
0.660 0.836 0.778
0.738 0.965 0.360
0.765 0.095 0.936
0.862 0.186 0.537
0.940 0.447 0.702
```

=====

(6)
Entry from Alexandria: a relaxed La4C2I5 crystal (PBEsol).

Values from the calculation:
**Energy relative to the elements, uncorrected**: -1.1857 eV/atom
**DOS(E_F)**: 2.630 states/eV/cell
**E**: -5.686 eV/atom
**Space group**: C2/m (12)

```
La4C2I5
1.0
9.989 -2.026 0.000
9.989 2.026 0.000
-2.090 0.000 8.563
La C I
4 2 5
Direct
0.000 0.000 0.193
0.000 0.000 0.807
0.345 0.345 0.914
0.655 0.655 0.086
0.464 0.464 0.981
0.536 0.536 0.019
0.163 0.163 0.366
0.166 0.166 0.808
0.500 0.500 0.500
0.834 0.834 0.192
0.837 0.837 0.634
```

=====

(7)
Entry from Alexandria: a relaxed La2CI crystal (PBEsol).

Values from the calculation:
**Energy relative to the elements, uncorrected**: -0.4443 eV/atom
**DOS(E_F)**: 5.744 states/eV/cell
**E**: -5.970 eV/atom
**Space group**: I-42d (122)

```
La2CI
1.0
-3.726 3.726 4.077
3.726 -3.726 4.077
3.726 3.726 -4.077
La C I
4 2 2
Direct
0.026 0.125 0.401
0.375 0.974 0.099
0.724 0.625 0.599
0.875 0.276 0.901
0.000 0.000 0.000
0.750 0.250 0.500
0.250 0.750 0.500
0.500 0.500 0.000
```

=====

(8)
Entry from Alexandria: a relaxed La4C2I5 crystal (PBEsol).

Values from the calculation:
**Energy relative to the elements, uncorrected**: -1.1701 eV/atom
**DOS(E_F)**: 2.320 states/eV/cell
**E**: -5.671 eV/atom
**Space group**: Immm (71)

```
La4C2I5
1.0
-2.035 4.373 9.701
2.035 -4.373 9.701
2.035 4.373 -9.701
La C I
4 2 5
Direct
0.155 0.155 0.000
0.194 0.500 0.694
0.806 0.500 0.306
0.845 0.845 0.000
0.036 0.036 0.000
0.964 0.964 0.000
0.119 0.338 0.781
0.444 0.662 0.781
0.500 0.000 0.500
0.556 0.338 0.219
0.881 0.662 0.219
```

=====

(9)
Entry from Alexandria: a relaxed La4CI6N crystal (PBEsol).

Values from the calculation:
**Energy relative to the elements, uncorrected**: -1.4585 eV/atom
**E**: -5.638 eV/atom
**Space group**: P4_2/mnm (136)

```
La4CI6N
1.0
13.961 0.000 0.000
0.000 13.961 0.000
0.000 0.000 9.674
La C I N
16 4 24 4
Direct
0.090 0.090 0.194
0.090 0.090 0.806
0.092 0.908 0.500
0.155 0.845 0.000
0.345 0.345 0.500
0.408 0.408 0.000
0.410 0.590 0.306
0.410 0.590 0.694
0.590 0.410 0.306
0.590 0.410 0.694
0.592 0.592 0.000
0.655 0.655 0.500
0.845 0.155 0.000
0.908 0.092 0.500
0.910 0.910 0.194
0.910 0.910 0.806
0.036 0.964 0.000
0.464 0.464 0.500
0.536 0.536 0.500
0.964 0.036 0.000
0.052 0.735 0.251
0.052 0.735 0.749
0.169 0.169 0.500
0.224 0.224 0.000
0.235 0.448 0.249
0.235 0.448 0.751
0.265 0.948 0.251
0.265 0.948 0.749
0.276 0.724 0.500
0.331 0.669 0.000
0.448 0.235 0.249
0.448 0.235 0.751
0.552 0.765 0.249
0.552 0.765 0.751
0.669 0.331 0.000
0.724 0.276 0.500
0.735 0.052 0.251
0.735 0.052 0.749
0.765 0.552 0.249
0.765 0.552 0.751
0.776 0.776 0.000
0.831 0.831 0.500
0.948 0.265 0.251
0.948 0.265 0.749
0.000 0.000 0.348
0.000 0.000 0.652
0.500 0.500 0.152
0.500 0.500 0.848
```

=====

(10)
Entry from Alexandria: a relaxed LiCI3 crystal (PBEsol).

Values from the calculation:
**Energy relative to the elements, uncorrected**: 1.2992 eV/atom
**DOS(E_F)**: 6.082 states/eV/cell
**E**: -2.083 eV/atom
**Space group**: Pm-3m (221)

```
LiCI3
1.0
5.265 0.000 0.000
0.000 5.265 0.000
0.000 0.000 5.265
Li C I
1 1 3
Direct
0.000 0.000 0.000
0.500 0.500 0.500
0.000 0.000 0.500
0.000 0.500 0.000
0.500 0.000 0.000
```

=====

(11)
Entry from Alexandria: a relaxed LiTeCI2 crystal (PBEsol).

Values from the calculation:
**Energy relative to the elements, uncorrected**: 1.4386 eV/atom
**DOS(E_F)**: 5.809 states/eV/cell
**E**: -2.295 eV/atom
**Space group**: P4/mmm (123)

```
LiTeCI2
1.0
5.163 0.000 0.000
0.000 5.163 0.000
0.000 0.000 5.047
Li Te C I
1 1 1 2
Direct
0.000 0.000 0.000
0.000 0.000 0.500
0.500 0.500 0.500
0.000 0.500 0.000
0.500 0.000 0.000
```

=====

(12)
Entry from Alexandria: a relaxed MgC3I crystal (PBEsol).

Values from the calculation:
**Energy relative to the elements, uncorrected**: 3.0657 eV/atom
**DOS(E_F)**: 4.232 states/eV/cell
**E**: -3.417 eV/atom
**Space group**: Pm-3m (221)

```
MgC3I
1.0
4.202 0.000 0.000
0.000 4.202 0.000
0.000 0.000 4.202
Mg C I
1 3 1
Direct
0.000 0.000 0.000
0.000 0.000 0.500
0.000 0.500 0.000
0.500 0.000 0.000
0.500 0.500 0.500
```

=====

(13)
Entry from Alexandria: a relaxed MgTeCI2 crystal (PBEsol).

Values from the calculation:
**Energy relative to the elements, uncorrected**: 1.3716 eV/atom
**DOS(E_F)**: 6.852 states/eV/cell
**E**: -2.313 eV/atom
**Space group**: P4/mmm (123)

```
MgTeCI2
1.0
5.496 0.000 0.000
0.000 5.496 0.000
0.000 0.000 5.549
Mg Te C I
1 1 1 2
Direct
0.000 0.000 0.000
0.000 0.000 0.500
0.500 0.500 0.500
0.000 0.500 0.000
0.500 0.000 0.000
```

=====

(14)
Entry from Alexandria: a relaxed MgTe2CI crystal (PBEsol).

Values from the calculation:
**Energy relative to the elements, uncorrected**: 1.5598 eV/atom
**DOS(E_F)**: 6.603 states/eV/cell
**E**: -2.476 eV/atom
**Space group**: P4/mmm (123)

```
MgTe2CI
1.0
5.412 0.000 0.000
0.000 5.412 0.000
0.000 0.000 5.420
Mg Te C I
1 2 1 1
Direct
0.000 0.000 0.000
0.000 0.500 0.000
0.500 0.000 0.000
0.500 0.500 0.500
0.000 0.000 0.500
```

=====

(15)
Entry from Alexandria: a relaxed MnPdC2I crystal (PBEsol).

Values from the calculation:
**Energy relative to the elements, uncorrected**: 2.9043 eV/atom
**DOS(E_F)**: 4.002 states/eV/cell
**E**: -4.451 eV/atom
**Space group**: P4/mmm (123)

```
MnPdC2I
1.0
4.140 0.000 0.000
0.000 4.140 0.000
0.000 0.000 4.990
Mn Pd C I
1 1 2 1
Direct
0.000 0.000 0.000
0.500 0.500 0.000
0.000 0.500 0.500
0.500 0.000 0.500
0.000 0.000 0.500
```

=====

(16)
Entry from Alexandria: a relaxed MnTe2CI crystal (PBEsol).

Values from the calculation:
**Energy relative to the elements, uncorrected**: 1.1694 eV/atom
**DOS(E_F)**: 2.825 states/eV/cell
**E**: -4.475 eV/atom
**Space group**: P4/mmm (123)

```
MnTe2CI
1.0
4.822 0.000 0.000
0.000 4.822 0.000
0.000 0.000 4.712
Mn Te C I
1 2 1 1
Direct
0.000 0.000 0.000
0.000 0.500 0.500
0.500 0.000 0.500
0.500 0.500 0.500
0.500 0.500 0.000
```

=====

(17)
Entry from Alexandria: a relaxed MoC2I2 crystal (PBEsol).

Values from the calculation:
**Energy relative to the elements, uncorrected**: 1.4362 eV/atom
**DOS(E_F)**: 1.192 states/eV/cell
**E**: -5.482 eV/atom
**Space group**: I4/mmm (139)

```
MoC2I2
1.0
-2.599 2.599 3.007
2.599 -2.599 3.007
2.599 2.599 -3.007
Mo C I
1 2 2
Direct
0.000 0.000 0.000
0.393 0.393 0.000
0.607 0.607 0.000
0.250 0.750 0.500
0.750 0.250 0.500
```

=====

(18)
Entry from Alexandria: a relaxed NaC2IN crystal (PBEsol).

Values from the calculation:
**Energy relative to the elements, uncorrected**: 3.1304 eV/atom
**DOS(E_F)**: 3.081 states/eV/cell
**E**: -3.066 eV/atom
**Space group**: P4/mmm (123)

```
NaC2IN
1.0
4.168 0.000 0.000
0.000 4.168 0.000
0.000 0.000 6.413
Na C I N
1 2 1 1
Direct
0.000 0.000 0.000
0.000 0.500 0.500
0.500 0.000 0.500
0.000 0.000 0.500
0.500 0.500 0.000
```

=====

(19)
Entry from Alexandria: a relaxed NbCIN2 crystal (PBEsol).

Values from the calculation:
**Energy relative to the elements, uncorrected**: 2.2393 eV/atom
**DOS(E_F)**: 3.694 states/eV/cell
**E**: -5.618 eV/atom
**Space group**: P4/mmm (123)

```
NbCIN2
1.0
3.876 0.000 0.000
0.000 3.876 0.000
0.000 0.000 4.118
Nb C I N
1 1 1 2
Direct
0.000 0.000 0.000
0.500 0.500 0.500
0.500 0.500 0.000
0.000 0.500 0.500
0.500 0.000 0.500
```

=====

(20)
Entry from Alexandria: a relaxed NiCIN2 crystal (PBEsol).

Values from the calculation:
**Energy relative to the elements, uncorrected**: 2.1521 eV/atom
**DOS(E_F)**: 4.361 states/eV/cell
**E**: -4.772 eV/atom
**Space group**: P4/mmm (123)

```
NiCIN2
1.0
3.282 0.000 0.000
0.000 3.282 0.000
0.000 0.000 6.737
Ni C I N
1 1 1 2
Direct
0.000 0.000 0.000
0.500 0.500 0.500
0.500 0.500 0.000
0.000 0.500 0.500
0.500 0.000 0.500
```

=====

(21)
Entry from Alexandria: a relaxed RhCIN2 crystal (PBEsol).

Values from the calculation:
**Energy relative to the elements, uncorrected**: 2.4236 eV/atom
**DOS(E_F)**: 3.580 states/eV/cell
**E**: -4.897 eV/atom
**Space group**: P4/mmm (123)

```
RhCIN2
1.0
3.613 0.000 0.000
0.000 3.613 0.000
0.000 0.000 4.569
Rh C I N
1 1 1 2
Direct
0.000 0.000 0.000
0.500 0.500 0.500
0.500 0.500 0.000
0.000 0.500 0.500
0.500 0.000 0.500
```

=====

(22)
Entry from Alexandria: a relaxed ScCI2N crystal (PBEsol).

Values from the calculation:
**Energy relative to the elements, uncorrected**: 0.9625 eV/atom
**DOS(E_F)**: 4.441 states/eV/cell
**E**: -4.699 eV/atom
**Space group**: P4/mmm (123)

```
ScCI2N
1.0
6.236 0.000 0.000
0.000 6.236 0.000
0.000 0.000 2.739
Sc C I N
1 1 2 1
Direct
0.000 0.000 0.000
0.500 0.500 0.500
0.000 0.500 0.500
0.500 0.000 0.500
0.500 0.500 0.000
```